## Hf3Ti2Ga3 (GGA-PBEsol)

Data for a relaxed Hf3Ti2Ga3 crystal.

Summary:
calculated volume: 17.6 A^3/atom
total magnetization: 0.89 μB/cell

Cell lengths 7.7736, 7.7736, 5.3826 Å; angles 90.00, 90.00, 120.00 degrees
Closest atoms and distances in Å follow each position.
Fractional positions:
Hf 0.0000 0.2411 0.2500  5 Ga 2.72-2.96
Hf 0.0000 0.7589 0.7500  5 Ga 2.72-2.96
Hf 0.2411 0.0000 0.2500  5 Ga 2.72-2.96
Hf 0.2411 0.2411 0.7500  5 Ga 2.72-2.96
Hf 0.7589 0.0000 0.7500  5 Ga 2.72-2.96
Hf 0.7589 0.7589 0.2500  5 Ga 2.72-2.96
Ti 0.3333 0.6667 0.0000  2 Ti 2.69, 6 Ga 2.73
Ti 0.3333 0.6667 0.5000  2 Ti 2.69, 6 Ga 2.73
Ti 0.6667 0.3333 0.0000  2 Ti 2.69, 6 Ga 2.73
Ti 0.6667 0.3333 0.5000  2 Ti 2.69, 6 Ga 2.73
Ga 0.0000 0.4006 0.7500  5 Hf 2.72-2.96, 4 Ti 2.73
Ga 0.0000 0.5994 0.2500  5 Hf 2.72-2.96, 4 Ti 2.73
Ga 0.4006 0.0000 0.7500  5 Hf 2.72-2.96, 4 Ti 2.73
Ga 0.4006 0.4006 0.2500  5 Hf 2.72-2.96, 4 Ti 2.73
Ga 0.5994 0.0000 0.2500  5 Hf 2.72-2.96, 4 Ti 2.73
Ga 0.5994 0.5994 0.7500  5 Hf 2.72-2.96, 4 Ti 2.73

---

## Y2HfTiGa (GGA-PBEsol)

Data for a relaxed Y2HfTiGa crystal.

Summary:
calculated volume: 24.6 A^3/atom
total magnetization: 0.00 μB/cell

Cell lengths 4.9786, 4.9786, 4.9547 Å; angles 90.00, 90.00, 90.00 degrees
Closest atoms and distances in Å follow each position.
Fractional positions:
Y 0.0000 0.5000 0.0000  2 Ti 2.49
Y 0.5000 0.0000 0.0000  2 Ti 2.49
Hf 0.0000 0.0000 0.5000  8 Y 3.51, 4 Ga 3.52
Ti 0.5000 0.5000 0.0000  2 Ga 2.48, 4 Y 2.49
Ga 0.5000 0.5000 0.5000  2 Ti 2.48

---

## Hf3V2Ga6 (GGA-PBEsol)

Data for a relaxed Hf3V2Ga6 crystal.

Summary:
calculated volume: 16.1 A^3/atom
total magnetization: 0.00 μB/cell

Cell lengths 5.3161, 8.7188, 7.6619 Å; angles 90.00, 90.00, 90.00 degrees
Closest atoms and distances in Å follow each position.
Fractional positions:
Hf 0.2500 0.0287 0.1543  9 Ga 2.79-2.94, 2 V 2.97
Hf 0.2500 0.4713 0.1543  9 Ga 2.79-2.94, 2 V 2.97
Hf 0.2500 0.7500 0.7169  7 Ga 2.70-2.91
Hf 0.7500 0.2500 0.2831  7 Ga 2.70-2.91
Hf 0.7500 0.5287 0.8457  9 Ga 2.79-2.94, 2 V 2.97
Hf 0.7500 0.9713 0.8457  9 Ga 2.79-2.94, 2 V 2.97
V 0.0000 0.0000 0.5000  6 Ga 2.53-2.75, 2 V 2.66
V 0.0000 0.5000 0.5000  6 Ga 2.53-2.75, 2 V 2.66
V 0.5000 0.0000 0.5000  6 Ga 2.53-2.75, 2 V 2.66
V 0.5000 0.5000 0.5000  6 Ga 2.53-2.75, 2 V 2.66
Ga 0.0094 0.7500 0.0385  5 Ga 2.56-2.81, 3 Hf 2.78-2.79
Ga 0.2500 0.0611 0.7722  2 V 2.53, 2 Ga 2.59, 3 Hf 2.75-2.83
Ga 0.2500 0.2500 0.4364  4 V 2.60, 4 Hf 2.90-2.91
Ga 0.2500 0.4389 0.7722  2 V 2.53, 2 Ga 2.59, 3 Hf 2.75-2.83
Ga 0.2500 0.7500 0.3651  3 Hf 2.70-2.92, 4 V 2.75, 2 Ga 2.81
Ga 0.4906 0.7500 0.0385  5 Ga 2.56-2.81, 3 Hf 2.78-2.79
Ga 0.5094 0.2500 0.9615  5 Ga 2.56-2.81, 3 Hf 2.78-2.79
Ga 0.7500 0.2500 0.6349  3 Hf 2.70-2.92, 4 V 2.75, 2 Ga 2.81
Ga 0.7500 0.5611 0.2278  2 V 2.53, 2 Ga 2.59, 3 Hf 2.75-2.83
Ga 0.7500 0.7500 0.5636  4 V 2.60, 4 Hf 2.90-2.91
Ga 0.7500 0.9389 0.2278  2 V 2.53, 2 Ga 2.59, 3 Hf 2.75-2.83
Ga 0.9906 0.2500 0.9615  5 Ga 2.56-2.81, 3 Hf 2.78-2.79

---

## HfGaW3 (GGA-PBEsol)

Data for a relaxed HfGaW3 crystal.

Summary:
calculated volume: 19.0 A^3/atom
total magnetization: 0.00 μB/cell

Cell lengths 4.5614, 4.5614, 4.5614 Å; angles 90.00, 90.00, 90.00 degrees
Closest atoms and distances in Å follow each position.
Fractional positions:
Hf 0.0000 0.0000 0.0000  12 W 3.23
Ga 0.5000 0.5000 0.5000  6 W 2.28
W 0.0000 0.5000 0.5000  2 Ga 2.28
W 0.5000 0.0000 0.5000  2 Ga 2.28
W 0.5000 0.5000 0.0000  2 Ga 2.28

---

## Y2HfGa2 (GGA-PBEsol)

Data for a relaxed Y2HfGa2 crystal.

Summary:
calculated volume: 22.4 A^3/atom
total magnetization: 0.00 μB/cell

Cell lengths 7.2521, 7.2521, 4.2626 Å; angles 90.00, 90.00, 90.00 degrees
Closest atoms and distances in Å follow each position.
Fractional positions:
Y 0.1759 0.3241 0.0000  6 Ga 2.95-3.08
Y 0.3241 0.8241 0.0000  6 Ga 2.95-3.08
Y 0.6759 0.1759 0.0000  6 Ga 2.95-3.08
Y 0.8241 0.6759 0.0000  6 Ga 2.95-3.08
Hf 0.0000 0.0000 0.5000  4 Ga 2.86
Hf 0.5000 0.5000 0.5000  4 Ga 2.86
Ga 0.1256 0.6256 0.5000  1 Ga 2.58, 2 Hf 2.86
Ga 0.3744 0.1256 0.5000  1 Ga 2.58, 2 Hf 2.86
Ga 0.6256 0.8744 0.5000  1 Ga 2.58, 2 Hf 2.86
Ga 0.8744 0.3744 0.5000  1 Ga 2.58, 2 Hf 2.86

---

## YHfGa3 (GGA-PBEsol)

Data for a relaxed YHfGa3 crystal.

Summary:
calculated volume: 24.5 A^3/atom
total magnetization: 0.00 μB/cell

Cell lengths 4.9663, 4.9663, 4.9663 Å; angles 90.00, 90.00, 90.00 degrees
Closest atoms and distances in Å follow each position.
Fractional positions:
Y 0.0000 0.0000 0.0000  12 Ga 3.51
Hf 0.5000 0.5000 0.5000  6 Ga 2.48
Ga 0.0000 0.5000 0.5000  2 Hf 2.48
Ga 0.5000 0.0000 0.5000  2 Hf 2.48
Ga 0.5000 0.5000 0.0000  2 Hf 2.48

---

## HfZn2Ga (GGA-PBEsol)

Data for a relaxed HfZn2Ga crystal.

Summary:
calculated volume: 15.7 A^3/atom
total magnetization: 0.00 μB/cell

Cell lengths 3.9335, 3.9335, 4.0516 Å; angles 90.00, 90.00, 90.00 degrees
Closest atoms and distances in Å follow each position.
Fractional positions:
Hf 0.0000 0.0000 0.0000  4 Ga 2.78, 8 Zn 2.82
Zn 0.0000 0.5000 0.5000  4 Zn 2.78, 4 Ga 2.82, 4 Hf 2.82
Zn 0.5000 0.0000 0.5000  4 Zn 2.78, 4 Ga 2.82, 4 Hf 2.82
Ga 0.5000 0.5000 0.0000  4 Hf 2.78, 8 Zn 2.82

---

## Hf5Zr5Ga6 (GGA-PBEsol)

Data for a relaxed Hf5Zr5Ga6 crystal.

Summary:
calculated volume: 19.4 A^3/atom
total magnetization: 0.00 μB/cell

Cell lengths 5.6494, 7.9466, 7.9466 Å; angles 119.72, 90.00, 90.00 degrees
Closest atoms and distances in Å follow each position.
Fractional positions:
Hf 0.0000 0.0000 0.0000  3 Ga 2.73-2.87
Hf 0.2499 0.5778 0.9121  6 Ga 2.82-2.83, 2 Hf 2.82-2.83
Hf 0.2499 0.9121 0.5778  6 Ga 2.82-2.83, 2 Hf 2.82-2.83
Hf 0.7501 0.5778 0.9121  6 Ga 2.82-2.83, 2 Hf 2.82-2.83
Hf 0.7501 0.9121 0.5778  6 Ga 2.82-2.83, 2 Hf 2.82-2.83
Zr 0.0000 0.2447 0.4854  3 Ga 2.75-2.90
Zr 0.0000 0.4854 0.2447  3 Ga 2.75-2.90
Zr 0.5000 0.0043 0.2446  3 Ga 2.74-2.90
Zr 0.5000 0.2446 0.0043  3 Ga 2.74-2.90
Zr 0.5000 0.4896 0.4896  3 Ga 2.74-2.88
Ga 0.0000 0.2438 0.8503  5 Hf 2.73-2.83, 2 Zr 2.75-2.90
Ga 0.0000 0.6399 0.6399  4 Zr 2.75-3.07, 5 Hf 2.82-2.87
Ga 0.0000 0.8503 0.2438  5 Hf 2.73-2.83, 2 Zr 2.75-2.90
Ga 0.5000 0.2454 0.6400  3 Zr 2.74-2.90, 4 Hf 2.82-2.83
Ga 0.5000 0.6400 0.2454  3 Zr 2.74-2.90, 4 Hf 2.82-2.83
Ga 0.5000 0.8506 0.8506  3 Zr 2.74-2.88, 6 Hf 2.83-3.07

---

## Hf2ZrGa (GGA-PBEsol)

Data for a relaxed Hf2ZrGa crystal.

Summary:
calculated volume: 19.4 A^3/atom
total magnetization: 0.02 μB/cell

Cell lengths 4.7868, 4.7868, 4.7868 Å; angles 60.00, 60.00, 60.00 degrees
Closest atoms and distances in Å follow each position.
Fractional positions:
Hf 0.2500 0.2500 0.2500  4 Ga 2.93, 4 Zr 2.93
Hf 0.7500 0.7500 0.7500  4 Zr 2.93, 4 Ga 2.93
Zr 0.0000 0.0000 0.0000  8 Hf 2.93
Ga 0.5000 0.5000 0.5000  8 Hf 2.93

---

## HfZr2Ga2 (GGA-PBEsol)

Data for a relaxed HfZr2Ga2 crystal.

Summary:
calculated volume: 19.1 A^3/atom
total magnetization: 0.00 μB/cell

Cell lengths 7.1998, 7.1998, 3.6784 Å; angles 90.00, 90.00, 90.00 degrees
Closest atoms and distances in Å follow each position.
Fractional positions:
Hf 0.0000 0.0000 0.0000  4 Ga 2.85
Hf 0.5000 0.5000 0.0000  4 Ga 2.85
Zr 0.1762 0.3238 0.5000  6 Ga 2.74-2.86
Zr 0.3238 0.8238 0.5000  6 Ga 2.74-2.86
Zr 0.6762 0.1762 0.5000  6 Ga 2.74-2.86
Zr 0.8238 0.6762 0.5000  6 Ga 2.74-2.86
Ga 0.1239 0.6239 0.0000  1 Ga 2.52, 2 Zr 2.74
Ga 0.3761 0.1239 0.0000  1 Ga 2.52, 2 Zr 2.74
Ga 0.6239 0.8761 0.0000  1 Ga 2.52, 2 Zr 2.74
Ga 0.8761 0.3761 0.0000  1 Ga 2.52, 2 Zr 2.74

---

## Ga3Hg (GGA-PBEsol)

Data for a relaxed Ga3Hg crystal.

Summary:
calculated volume: 19.1 A^3/atom
total magnetization: 0.00 μB/cell

Cell lengths 5.2421, 5.2421, 5.2421 Å; angles 132.68, 132.68, 69.16 degrees
Closest atoms and distances in Å follow each position.
Fractional positions:
Ga 0.0000 0.0000 0.0000  4 Hg 2.98, 8 Ga 3.01
Ga 0.2500 0.7500 0.5000  8 Ga 2.98-3.01, 4 Hg 3.01
Ga 0.7500 0.2500 0.5000  8 Ga 2.98-3.01, 4 Hg 3.01
Hg 0.5000 0.5000 0.0000  12 Ga 2.98-3.01

---

## Ga3Hg (GGA-PBEsol)

Data for a relaxed Ga3Hg crystal.

Summary:
calculated volume: 19.3 A^3/atom
total magnetization: 0.00 μB/cell

Cell lengths 6.0709, 6.0709, 4.8407 Å; angles 90.00, 90.00, 120.00 degrees
Closest atoms and distances in Å follow each position.
Fractional positions:
Ga 0.1611 0.3222 0.2500  8 Ga 2.93-3.14, 4 Hg 3.02-3.04
Ga 0.1611 0.8389 0.2500  8 Ga 2.93-3.14, 4 Hg 3.02-3.04
Ga 0.3222 0.1611 0.7500  8 Ga 2.93-3.14, 4 Hg 3.02-3.04
Ga 0.6778 0.8389 0.2500  8 Ga 2.93-3.14, 4 Hg 3.02-3.04
Ga 0.8389 0.1611 0.7500  8 Ga 2.93-3.14, 4 Hg 3.02-3.04
Ga 0.8389 0.6778 0.7500  8 Ga 2.93-3.14, 4 Hg 3.02-3.04
Hg 0.3333 0.6667 0.7500  12 Ga 3.02-3.04
Hg 0.6667 0.3333 0.2500  12 Ga 3.02-3.04

---

no.,uncorrected energy (eV per atom),DFT formation energy (kcal/mol of atoms)
1,-7.790,-11.9
2,-6.441,16.6
3,-6.909,-10.9
4,-9.584,33.9
5,-6.655,-11.3
6,-5.341,2.9
7,-4.634,-8.8
8,-7.894,-12.0
9,-8.448,-2.1
10,-7.645,-13.2
11,-2.589,1.3
12,-2.587,1.4